# 1
ZrTi after structural relaxation, computed with PBE-GGA.

Computed properties:
Total energy, eV per atom: -5.930
E_form, eV per atom: 2.291

POSCAR file:
```
ZrTi
1.0
-3.6573 4.1423 2.7467
-3.7752 -0.0972 -4.8802
-3.2327 -4.5728 2.5918
Zr Ti
4 4
Direct
0.0000 0.0000 0.0000
0.5000 0.5000 0.0000
0.0000 0.5000 0.5000
0.5000 0.0000 0.5000
0.2500 0.2500 0.2500
0.7500 0.7500 0.2500
0.7500 0.2500 0.7500
0.2500 0.7500 0.7500
```

# 2
ZrTi after structural relaxation, computed with PBE-GGA.

Computed properties:
Total energy, eV per atom: -8.002
E_form, eV per atom: 0.220

POSCAR file:
```
ZrTi
1.0
-0.4986 -2.0699 1.9864
5.8630 0.5098 -0.1313
-2.9901 3.8343 3.2447
Ti Zr
2 2
Direct
0.6515 0.3030 0.2839
0.3485 0.6970 0.7161
0.3632 0.7263 0.2352
0.6368 0.2737 0.7648
```

# 3
Zr2Ti3 after structural relaxation, computed with PBE-GGA.

Computed properties:
Total energy, eV per atom: -7.793
E_form, eV per atom: 0.363

POSCAR file:
```
Zr2Ti3
1.0
-4.6469 2.1051 -2.6917
-3.8217 -3.5959 -2.3946
-6.5243 -0.7083 4.5293
Zr Ti
4 6
Direct
0.1886 0.1886 0.4344
0.8114 0.8114 0.5656
0.6886 0.6886 0.9344
0.3114 0.3114 0.0656
0.2500 0.2500 0.7500
0.2500 0.7500 0.2500
0.7500 0.2500 0.7500
0.2500 0.7500 0.7500
0.7500 0.2500 0.2500
0.7500 0.7500 0.2500
```

# 4
Zr2Ti after structural relaxation, computed with PBE-GGA.

Computed properties:
Total energy, eV per atom: -8.290
E_form, eV per atom: 0.041

POSCAR file:
```
Zr2Ti
1.0
3.0532 0.2760 -0.7461
0.6769 5.5747 -1.8310
-1.3026 -0.0976 7.9301
Zr Ti
4 2
Direct
0.4493 0.6901 0.6698
0.2473 0.2521 0.7466
0.1415 0.0257 0.0311
0.9396 0.5877 0.1080
0.5761 0.9304 0.4152
0.8128 0.3474 0.3626
```

# 5
Tm5Tl2 after structural relaxation, computed with PBE-GGA.

Computed properties:
Total energy, eV per atom: -4.054
E_form, eV per atom: -0.184
Distance to the lowest polymorph of the same formula, kJ per mole of atoms: 0.00

POSCAR file:
```
Tm5Tl2
1.0
-2.0877 4.4438 2.0925
-1.0974 -4.3155 8.0698
8.4551 0.8304 -0.1342
Tl Tm
4 10
Direct
0.1761 0.3920 0.8510
0.6749 0.8920 0.8510
0.8239 0.6080 0.1490
0.3251 0.1080 0.1490
0.1100 0.0366 0.7208
0.9795 0.3267 0.4605
0.0205 0.6733 0.5395
0.2495 0.7500 0.0000
0.6108 0.5366 0.7208
0.7505 0.2500 0.0000
0.3892 0.4634 0.2792
0.5190 0.1733 0.5395
0.4810 0.8267 0.4605
0.8900 0.9634 0.2792
```

# 6
Tm5Tl after structural relaxation, computed with PBE-GGA.

Computed properties:
Total energy, eV per atom: -4.220
E_form, eV per atom: -0.099
Distance to the lowest polymorph of the same formula, kJ per mole of atoms: 0.88

POSCAR file:
```
Tm5Tl
1.0
-0.0215 3.5309 0.0058
-1.5051 -0.0144 3.1942
12.6515 0.0671 5.9617
Tm Tl
5 1
Direct
0.5000 0.5000 0.8253
0.0000 0.0000 0.0000
0.5000 0.5000 0.1747
0.0000 0.0000 0.6519
0.0000 0.0000 0.3481
0.5000 0.5000 0.5000
```

# 7
Tm4Tl after structural relaxation, computed with PBE-GGA.

Computed properties:
Total energy, eV per atom: -4.164
E_form, eV per atom: -0.114
Distance to the lowest polymorph of the same formula, kJ per mole of atoms: 0.00

POSCAR file:
```
Tm4Tl
1.0
-2.8990 -1.7115 3.4013
0.9156 -6.2943 -2.3869
7.5302 4.7437 5.4385
Tl Tm
2 8
Direct
0.9062 0.1047 0.8124
0.0938 0.8953 0.1876
0.8955 0.5827 0.7909
0.2960 0.1948 0.5919
0.7040 0.8052 0.4081
0.1045 0.4173 0.2091
0.5000 0.0000 0.0000
0.3045 0.7055 0.6090
0.6955 0.2945 0.3910
0.5000 0.5000 0.0000
```

# 8
Tm3Tl after structural relaxation, computed with PBE-GGA.

Computed properties:
Total energy, eV per atom: -4.083
E_form, eV per atom: -0.138

POSCAR file:
```
Tm3Tl
1.0
-0.8405 -5.7255 -3.1124
4.5554 0.8316 -2.7600
3.2570 -2.9218 4.4954
Tm Tl
6 2
Direct
0.5000 0.0000 0.3683
0.0000 0.5000 0.6317
0.2549 0.0000 0.8554
0.7549 0.5000 0.1446
0.7451 0.0000 0.8554
0.2451 0.5000 0.1446
0.0000 0.0000 0.3423
0.5000 0.5000 0.6577
```

# 9
Tm4Tl after structural relaxation, computed with PBE-GGA.

Computed properties:
Total energy, eV per atom: -4.115
E_form, eV per atom: -0.064
Distance to the lowest polymorph of the same formula, kJ per mole of atoms: 4.77

POSCAR file:
```
Tm4Tl
1.0
6.9712 0.0000 0.0000
3.4856 5.1554 0.6346
3.4856 1.5842 8.3128
Tm Tl
8 2
Direct
0.1515 0.8026 0.3943
0.1949 0.3885 0.2216
0.8485 0.1974 0.6057
0.6515 0.8026 0.3943
0.6949 0.3885 0.2216
0.8051 0.6115 0.7784
0.3485 0.1974 0.6057
0.3051 0.6115 0.7784
0.2500 0.0000 0.0000
0.7500 0.0000 0.0000
```

# 10
Tm4Tl after structural relaxation, computed with PBE-GGA.

Computed properties:
Total energy, eV per atom: -3.583
E_form, eV per atom: 0.467
Distance to the lowest polymorph of the same formula, kJ per mole of atoms: 56.02

POSCAR file:
```
Tm4Tl
1.0
-1.9134 3.6167 -3.9094
1.0897 -3.8003 -4.0491
-5.2131 -2.1218 0.5885
Tm Tl
4 1
Direct
0.0000 0.0000 0.0000
0.5000 0.5000 0.0000
0.5000 0.0000 0.5000
0.0000 0.5000 0.5000
0.5000 0.5000 0.5000
```

# 11
Tm8Tl after structural relaxation, computed with PBE-GGA.

Computed properties:
Total energy, eV per atom: -4.275
E_form, eV per atom: -0.037

POSCAR file:
```
Tm8Tl
1.0
4.8297 0.0000 0.0000
2.4148 7.3833 0.0000
2.4148 0.0000 7.3833
Tm Tl
8 1
Direct
0.6640 0.3360 0.3360
0.3368 0.3265 0.0000
0.0000 0.3360 0.6640
0.0000 0.6640 0.3360
0.3368 0.0000 0.3265
0.6632 0.0000 0.6735
0.3360 0.6640 0.6640
0.6632 0.6735 0.0000
0.0000 0.0000 0.0000
```

# 12
Tm5Tl after structural relaxation, computed with PBE-GGA.

Computed properties:
Total energy, eV per atom: -4.229
E_form, eV per atom: -0.108
Distance to the lowest polymorph of the same formula, kJ per mole of atoms: 0.00

POSCAR file:
```
Tm5Tl
1.0
4.8007 0.0000 0.0000
0.0000 4.8090 0.0000
0.0000 -2.4045 7.4155
Tm Tl
5 1
Direct
0.0000 0.6633 0.3266
0.5000 0.1699 0.3397
0.0000 0.3367 0.6734
0.5000 0.8301 0.6603
0.5000 0.5000 0.0000
0.0000 0.0000 0.0000
```